Arrangement a

! SiBr, optimized geometry, DFT GGA-PBEsol; values from VASP
&SYSTEM
  ibrav = 0, nat = 8, ntyp = 2
/
ATOMIC_SPECIES
Si 28.09 Si.upf
Br 79.90 Br.upf
ATOMIC_POSITIONS angstrom
Si 2.0461 0.0000 2.1690
Si 1.9552 1.9445 3.4225
Si 7.3700 1.9445 2.1690
Si 7.2791 0.0000 3.4225
Br -0.0019 1.9445 4.5307
Br 4.0031 0.0000 1.0608
Br 5.3221 0.0000 4.5307
Br 9.3270 1.9445 1.0608
CELL_PARAMETERS angstrom
10.6478 0.0000 0.0000
0.0000 3.8890 0.0000
-1.3227 0.0000 5.5915
! Volume (Å³ per atom): 28.94
! Symmetry: C2/m (12)



Arrangement b

! SiBr, optimized geometry, DFT GGA-PBEsol; values from VASP
&SYSTEM
  ibrav = 0, nat = 12, ntyp = 2
/
ATOMIC_SPECIES
Si 28.09 Si.upf
Br 79.90 Br.upf
ATOMIC_POSITIONS angstrom
Si 0.0000 0.0000 4.0850
Si 0.0000 0.0000 18.2965
Si 0.0000 2.2293 10.8360
Si 0.0000 2.2293 19.0061
Si 1.9306 1.1146 3.3755
Si 1.9306 1.1146 11.5455
Br 0.0000 0.0000 9.0423
Br 0.0000 0.0000 13.3392
Br 0.0000 2.2293 1.5818
Br 0.0000 2.2293 5.8787
Br 1.9306 1.1146 16.5028
Br 1.9306 1.1146 20.7997
CELL_PARAMETERS angstrom
3.8612 0.0000 0.0000
-1.9306 3.3439 0.0000
0.0000 0.0000 22.3815
! Volume (Å³ per atom): 24.08
! Symmetry: R-3m (166)



Energy relative to the most stable one, in kJ/mol of atoms: arrangement a 2.8; arrangement b 0.0



Arrangement a

! SrSiBr2, optimized geometry, DFT GGA-PBEsol; values from VASP
&SYSTEM
  ibrav = 0, nat = 12, ntyp = 3
/
ATOMIC_SPECIES
Sr 87.62 Sr.upf
Si 28.09 Si.upf
Br 79.90 Br.upf
ATOMIC_POSITIONS angstrom
Sr 0.0000 0.0000 0.0000
Sr 0.0000 2.5133 17.3567
Sr 2.1766 1.2567 8.6784
Si 0.0000 0.0000 13.0175
Si 0.0000 2.5133 4.3392
Si 2.1766 1.2567 21.6959
Br 0.0000 0.0000 3.0208
Br 0.0000 0.0000 23.0143
Br 0.0000 2.5133 14.3359
Br 0.0000 2.5133 20.3775
Br 2.1766 1.2567 5.6576
Br 2.1766 1.2567 11.6992
CELL_PARAMETERS angstrom
4.3532 0.0000 0.0000
-2.1766 3.7700 0.0000
0.0000 0.0000 26.0351
! Volume (Å³ per atom): 35.61
! Symmetry: R-3m (166)



Arrangement b

! SrSiBr2, optimized geometry, DFT GGA-PBEsol; values from VASP
&SYSTEM
  ibrav = 0, nat = 4, ntyp = 3
/
ATOMIC_SPECIES
Sr 87.62 Sr.upf
Si 28.09 Si.upf
Br 79.90 Br.upf
ATOMIC_POSITIONS angstrom
Sr 0.0000 0.0000 0.0000
Si 1.9394 0.0000 2.9973
Br 0.0000 2.2541 2.9973
Br 1.9394 2.2541 0.0000
CELL_PARAMETERS angstrom
3.8787 0.0000 0.0000
0.0000 4.5081 0.0000
0.0000 0.0000 5.9947
! Volume (Å³ per atom): 26.21
! Symmetry: Pmmm (47)



Energy relative to the most stable one, in kJ/mol of atoms: arrangement a 47.7; arrangement b 0.0



Arrangement a

! Ta2SiBr, optimized geometry, DFT GGA-PBEsol; values from VASP
&SYSTEM
  ibrav = 0, nat = 8, ntyp = 3
/
ATOMIC_SPECIES
Ta 180.95 Ta.upf
Si 28.09 Si.upf
Br 79.90 Br.upf
ATOMIC_POSITIONS angstrom
Ta 0.0000 0.0000 0.0000
Ta 1.4608 0.0000 2.9530
Ta 4.6249 1.5721 0.0000
Ta 6.0857 1.5721 2.9530
Si -0.5539 1.5721 2.4377
Si 4.0710 0.0000 2.4377
Br 2.0588 1.5721 0.8583
Br 6.6836 0.0000 0.8583
CELL_PARAMETERS angstrom
9.2497 0.0000 0.0000
0.0000 3.1443 0.0000
-1.2718 0.0000 4.5846
! Volume (Å³ per atom): 16.67
! Symmetry: Cm (8)



Arrangement b

! Ta2SiBr, optimized geometry, DFT GGA-PBEsol; values from VASP
&SYSTEM
  ibrav = 0, nat = 8, ntyp = 3
/
ATOMIC_SPECIES
Ta 180.95 Ta.upf
Si 28.09 Si.upf
Br 79.90 Br.upf
ATOMIC_POSITIONS angstrom
Ta 0.0000 0.0000 0.0000
Ta 0.0000 2.3750 2.2121
Ta 1.7670 0.0000 2.2121
Ta 1.7670 2.3750 0.0000
Si 0.0000 2.3750 7.1386
Si 1.7670 0.0000 7.1386
Br 0.0000 0.0000 4.1841
Br 1.7670 2.3750 4.1841
CELL_PARAMETERS angstrom
3.5340 0.0000 0.0000
0.0000 4.7500 0.0000
0.0000 0.0000 9.0369
! Volume (Å³ per atom): 18.96
! Symmetry: Cmm2 (35)



Energy relative to the most stable one, in kJ/mol of atoms: arrangement a 3.2; arrangement b 0.0



Arrangement a

! Ta2SiBr, optimized geometry, DFT GGA-PBEsol; values from VASP
&SYSTEM
  ibrav = 0, nat = 8, ntyp = 3
/
ATOMIC_SPECIES
Ta 180.95 Ta.upf
Si 28.09 Si.upf
Br 79.90 Br.upf
ATOMIC_POSITIONS angstrom
Ta 1.8080 0.0000 1.2541
Ta 1.2069 1.4474 4.1213
Ta 6.1996 1.4474 1.2541
Ta 5.5985 0.0000 4.1213
Si 0.0000 1.4474 0.0000
Si 4.3916 0.0000 0.0000
Br -0.6884 0.0000 2.6877
Br 3.7032 1.4474 2.6877
CELL_PARAMETERS angstrom
8.7832 0.0000 0.0000
0.0000 2.8949 0.0000
-1.3767 0.0000 5.3754
! Volume (Å³ per atom): 17.08
! Symmetry: C2/m (12)



Arrangement b

! Ta2SiBr, optimized geometry, DFT GGA-PBEsol; values from VASP
&SYSTEM
  ibrav = 0, nat = 4, ntyp = 3
/
ATOMIC_SPECIES
Ta 180.95 Ta.upf
Si 28.09 Si.upf
Br 79.90 Br.upf
ATOMIC_POSITIONS angstrom
Ta 0.0000 0.0000 0.0000
Ta 1.6721 1.6721 1.8039
Si 1.6721 1.6721 5.2056
Br 0.0000 0.0000 3.2431
CELL_PARAMETERS angstrom
3.3441 0.0000 0.0000
0.0000 3.3441 0.0000
0.0000 0.0000 6.1391
! Volume (Å³ per atom): 17.16
! Symmetry: P4mm (99)



Arrangement c

! Ta2SiBr, optimized geometry, DFT GGA-PBEsol; values from VASP
&SYSTEM
  ibrav = 0, nat = 16, ntyp = 3
/
ATOMIC_SPECIES
Ta 180.95 Ta.upf
Si 28.09 Si.upf
Br 79.90 Br.upf
ATOMIC_POSITIONS angstrom
Ta 1.6132 5.3739 0.7191
Ta 1.7913 1.6132 5.0338
Ta 1.7913 1.9693 2.1573
Ta 1.9693 5.3739 3.5955
Ta 5.1958 1.7913 3.5955
Ta 5.3739 5.1958 2.1573
Ta 5.3739 5.5519 5.0338
Ta 5.5519 1.7913 0.7191
Si 0.0000 0.0000 0.0000
Si 0.0000 3.5826 1.4382
Si 3.5826 0.0000 4.3146
Si 3.5826 3.5826 2.8764
Br 0.0000 0.0000 2.8764
Br 0.0000 3.5826 4.3146
Br 3.5826 0.0000 1.4382
Br 3.5826 3.5826 0.0000
CELL_PARAMETERS angstrom
7.1651 0.0000 0.0000
0.0000 7.1651 0.0000
0.0000 0.0000 5.7529
! Volume (Å³ per atom): 18.46
! Symmetry: I-42d (122)



Energy relative to the most stable one, in kJ/mol of atoms: arrangement a 21.8; arrangement b 0.0; arrangement c 72.3



Arrangement a

! SiTcBr2, optimized geometry, DFT GGA-PBEsol; values from VASP
&SYSTEM
  ibrav = 0, nat = 8, ntyp = 3
/
ATOMIC_SPECIES
Si 28.09 Si.upf
Tc 98.00 Tc.upf
Br 79.90 Br.upf
ATOMIC_POSITIONS angstrom
Si 0.0000 0.0000 0.0000
Si 1.5406 1.9631 7.1959
Tc 0.0000 0.0000 7.1959
Tc 1.5406 1.9631 0.0000
Br 0.0000 1.9631 2.1589
Br 0.0000 1.9631 12.2329
Br 1.5406 0.0000 5.0370
Br 1.5406 0.0000 9.3548
CELL_PARAMETERS angstrom
3.0813 0.0000 0.0000
0.0000 3.9262 0.0000
0.0000 0.0000 14.3918
! Volume (Å³ per atom): 21.76
! Symmetry: Immm (71)



Arrangement b

! SiTcBr2, optimized geometry, DFT GGA-PBEsol; values from VASP
&SYSTEM
  ibrav = 0, nat = 16, ntyp = 3
/
ATOMIC_SPECIES
Si 28.09 Si.upf
Tc 98.00 Tc.upf
Br 79.90 Br.upf
ATOMIC_POSITIONS angstrom
Si 0.0000 0.0000 0.0000
Si 0.0000 3.2564 3.2564
Si 3.2564 0.0000 3.2564
Si 3.2564 3.2564 0.0000
Tc 0.0000 0.0000 3.2564
Tc 0.0000 3.2564 0.0000
Tc 3.2564 0.0000 0.0000
Tc 3.2564 3.2564 3.2564
Br 1.6282 1.6282 1.6282
Br 1.6282 1.6282 4.8846
Br 1.6282 4.8846 1.6282
Br 1.6282 4.8846 4.8846
Br 4.8846 1.6282 1.6282
Br 4.8846 1.6282 4.8846
Br 4.8846 4.8846 1.6282
Br 4.8846 4.8846 4.8846
CELL_PARAMETERS angstrom
6.5129 0.0000 0.0000
0.0000 6.5129 0.0000
0.0000 0.0000 6.5129
! Volume (Å³ per atom): 17.27
! Symmetry: Fm-3m (225)



Energy relative to the most stable one, in kJ/mol of atoms: arrangement a 0.0; arrangement b 78.0



Arrangement a

! Si2TcBr, optimized geometry, DFT GGA-PBEsol; values from VASP
&SYSTEM
  ibrav = 0, nat = 12, ntyp = 3
/
ATOMIC_SPECIES
Si 28.09 Si.upf
Tc 98.00 Tc.upf
Br 79.90 Br.upf
ATOMIC_POSITIONS angstrom
Si 0.0000 0.0000 0.0000
Si 0.0000 0.0000 6.7953
Si 0.0000 1.7200 17.5364
Si 0.0000 1.7200 24.3316
Si 1.4896 0.8600 8.7682
Si 1.4896 0.8600 15.5634
Tc 0.0000 0.0000 13.7621
Tc 0.0000 1.7200 4.9939
Tc 1.4896 0.8600 22.5303
Br 0.0000 0.0000 20.6013
Br 0.0000 1.7200 11.8331
Br 1.4896 0.8600 3.0649
CELL_PARAMETERS angstrom
2.9792 0.0000 0.0000
-1.4896 2.5801 0.0000
0.0000 0.0000 26.3045
! Volume (Å³ per atom): 16.85
! Symmetry: R3m (160)



Arrangement b

! Si2TcBr, optimized geometry, DFT GGA-PBEsol; values from VASP
&SYSTEM
  ibrav = 0, nat = 4, ntyp = 3
/
ATOMIC_SPECIES
Si 28.09 Si.upf
Tc 98.00 Tc.upf
Br 79.90 Br.upf
ATOMIC_POSITIONS angstrom
Si 0.0000 2.4010 0.0000
Si 2.4010 0.0000 0.0000
Tc 0.0000 0.0000 1.3772
Br 2.4010 2.4010 1.3772
CELL_PARAMETERS angstrom
4.8021 0.0000 0.0000
0.0000 4.8021 0.0000
0.0000 0.0000 2.7544
! Volume (Å³ per atom): 15.88
! Symmetry: P4/mmm (123)



Arrangement c

! Si2TcBr, optimized geometry, DFT GGA-PBEsol; values from VASP
&SYSTEM
  ibrav = 0, nat = 8, ntyp = 3
/
ATOMIC_SPECIES
Si 28.09 Si.upf
Tc 98.00 Tc.upf
Br 79.90 Br.upf
ATOMIC_POSITIONS angstrom
Si 0.0000 1.9912 1.9100
Si 0.0000 1.9912 5.7301
Si 1.9912 0.0000 1.9100
Si 1.9912 0.0000 5.7301
Tc 0.0000 0.0000 0.0000
Tc 1.9912 1.9912 3.8200
Br 0.0000 0.0000 3.8200
Br 1.9912 1.9912 0.0000
CELL_PARAMETERS angstrom
3.9824 0.0000 0.0000
0.0000 3.9824 0.0000
0.0000 0.0000 7.6401
! Volume (Å³ per atom): 15.15
! Symmetry: I4/mmm (139)



Arrangement d

! Si2TcBr, optimized geometry, DFT GGA-PBEsol; values from VASP
&SYSTEM
  ibrav = 0, nat = 16, ntyp = 3
/
ATOMIC_SPECIES
Si 28.09 Si.upf
Tc 98.00 Tc.upf
Br 79.90 Br.upf
ATOMIC_POSITIONS angstrom
Si 1.0516 1.4521 1.3992
Si 1.4521 3.9559 4.1977
Si 1.4521 4.7569 9.7945
Si 1.8527 1.4521 6.9961
Si 3.9559 4.3564 6.9961
Si 4.3564 1.0516 9.7945
Si 4.3564 1.8527 4.1977
Si 4.7569 4.3564 1.3992
Tc 0.0000 0.0000 0.0000
Tc 0.0000 2.9043 2.7984
Tc 2.9043 0.0000 8.3953
Tc 2.9043 2.9043 5.5969
Br 0.0000 0.0000 5.5969
Br 0.0000 2.9043 8.3953
Br 2.9043 0.0000 2.7984
Br 2.9043 2.9043 0.0000
CELL_PARAMETERS angstrom
5.8086 0.0000 0.0000
0.0000 5.8086 0.0000
0.0000 0.0000 11.1938
! Volume (Å³ per atom): 23.60
! Symmetry: I-42d (122)



Energy relative to the most stable one, in kJ/mol of atoms: arrangement a 0.0; arrangement b 36.3; arrangement c 35.2; arrangement d 28.7



Arrangement a

! Si2TcBr, optimized geometry, DFT GGA-PBEsol; values from VASP
&SYSTEM
  ibrav = 0, nat = 8, ntyp = 3
/
ATOMIC_SPECIES
Si 28.09 Si.upf
Tc 98.00 Tc.upf
Br 79.90 Br.upf
ATOMIC_POSITIONS angstrom
Si 0.0000 0.0000 2.0737
Si 0.0000 0.0000 8.3744
Si 1.4414 2.2429 3.1504
Si 1.4414 2.2429 7.2978
Tc 0.0000 2.2429 5.2241
Tc 1.4414 0.0000 0.0000
Br 0.0000 2.2429 0.0000
Br 1.4414 0.0000 5.2241
CELL_PARAMETERS angstrom
2.8828 0.0000 0.0000
0.0000 4.4859 0.0000
0.0000 0.0000 10.4481
! Volume (Å³ per atom): 16.89
! Symmetry: Immm (71)



Arrangement b

! Si2TcBr, optimized geometry, DFT GGA-PBEsol; values from VASP
&SYSTEM
  ibrav = 0, nat = 4, ntyp = 3
/
ATOMIC_SPECIES
Si 28.09 Si.upf
Tc 98.00 Tc.upf
Br 79.90 Br.upf
ATOMIC_POSITIONS angstrom
Si 0.0000 0.0000 0.0000
Si 1.5967 1.7095 0.2596
Tc 3.4695 1.7095 1.5708
Br 2.5635 0.0000 3.4381
CELL_PARAMETERS angstrom
3.9471 0.0000 0.0000
0.0000 3.4189 0.0000
-0.5152 0.0000 5.7616
! Volume (Å³ per atom): 19.44
! Symmetry: Pm (6)



Energy relative to the most stable one, in kJ/mol of atoms: arrangement a 27.1; arrangement b 0.0